CoAgF4: optimized geometry, PBE with a Hubbard U.

abc: 3.955 7.561 7.210
angles: 106.42 90.00 105.16
Last column: magnetic moment on the atom in μB.
Sites, in units of the cell vectors:
Ag: 0.186 0.372 0.261  0.15
Ag: 0.814 0.628 0.739  0.15
F: 0.396 0.793 0.328  0.14
F: 0.108 0.216 0.935  0.22
F: 0.052 0.103 0.390  0.15
F: 0.225 0.449 0.660  0.12
F: 0.775 0.551 0.340  0.12
F: 0.892 0.784 0.065  0.22
F: 0.604 0.207 0.672  0.14
F: 0.948 0.897 0.610  0.15
Co: 0.906 0.812 0.322  3.22
Co: 0.094 0.188 0.678  3.22

Summary:
spin magnetization = 4.07 μB per formula unit
electronic total energy = -25.18 eV per formula unit
SG = C2/m